Computed, not measured: a relaxed structure of Y3CdN at the GGA-PBE level of DFT.

Computed properties:
* D(E_F): 0.00 states/eV per atom
* raw total energy: -63.57 eV/cell
* spin magnetization: 0.00 μB per formula unit

Lattice parameters (Å, degrees): 6.9863 6.9863 6.9863 58.41 58.41 58.41
Sites, in units of the cell vectors:
1 Y 0.0827 0.5057 0.6589
2 Y 0.3411 0.9173 0.4943
3 Y 0.4943 0.3411 0.9173
4 Y 0.5057 0.6589 0.0827
5 Y 0.6589 0.0827 0.5057
6 Y 0.9173 0.4943 0.3411
7 Cd 0.0918 0.0918 0.0918
8 Cd 0.9082 0.9082 0.9082
9 N 0.3295 0.3295 0.3295
10 N 0.6705 0.6705 0.6705

---

Computed, not measured: a relaxed structure of YZr2CdN at the GGA-PBE level of DFT.

Computed properties:
* D(E_F): 0.96 states/eV per atom
* energy above the most stable polymorph in this dataset: 231 kJ/mol of formula units
* spin magnetization: 0.00 μB per formula unit

Lattice parameters (Å, degrees): 4.4803 4.4803 5.2113 90.00 90.00 90.00
Sites, in units of the cell vectors:
1 Y 0.0000 0.0000 0.0000
2 Zr 0.0000 0.5000 0.5000
3 Zr 0.5000 0.0000 0.5000
4 Cd 0.5000 0.5000 0.0000
5 N 0.5000 0.5000 0.5000

---

Computed, not measured: a relaxed structure of YZr2CdN at the GGA-PBE level of DFT.

Computed properties:
* D(E_F): 0.60 states/eV per atom
* energy above the most stable polymorph in this dataset: 0 kJ/mol of formula units
* spin magnetization: 0.00 μB per formula unit

Lattice parameters (Å, degrees): 4.5407 4.5407 4.7947 90.00 90.00 90.00
Sites, in units of the cell vectors:
1 Y 0.0000 0.0000 0.0000
2 Zr 0.0000 0.5000 0.5000
3 Zr 0.5000 0.0000 0.5000
4 Cd 0.5000 0.5000 0.0000
5 N 0.0000 0.0000 0.5000

---

Look up the spin magnetization of the first one. 0.00 μB per formula unit